! AgPO2F | Alexandria via LeMat-Bulk | PBE | relaxed; values from VASP
&SYSTEM
  ibrav = 0, nat = 5, ntyp = 4
/
ATOMIC_SPECIES
Ag 107.87 Ag.upf
P 30.97 P.upf
O 16.00 O.upf
F 19.00 F.upf
ATOMIC_POSITIONS angstrom
Ag 0.000 0.000 0.000
P 2.016 2.016 0.000
O 0.000 2.016 2.048
O 2.016 0.000 2.048
F 0.000 0.000 2.048
CELL_PARAMETERS angstrom
4.033 0.000 0.000
0.000 4.033 0.000
0.000 0.000 4.097
! energy: -2.9321 eV/atom
! spin magnetization: 0.0 Bohr magnetons per cell
! formation energy (no corrections): 1.08 eV per atom
! SG: P4/mmm



! AgP2O6F | Alexandria via LeMat-Bulk | PBE | relaxed; values from VASP
&SYSTEM
  ibrav = 0, nat = 20, ntyp = 4
/
ATOMIC_SPECIES
Ag 107.87 Ag.upf
P 30.97 P.upf
O 16.00 O.upf
F 19.00 F.upf
ATOMIC_POSITIONS angstrom
Ag 4.532 3.458 3.105
Ag 5.352 -3.458 1.035
P 2.315 0.922 1.995
P 1.494 -0.922 4.065
P 8.390 0.922 0.075
P 7.570 -0.922 2.146
O 0.862 1.080 1.611
O 2.947 2.073 2.707
O 0.041 -1.080 3.681
O 3.234 0.463 0.770
O 2.414 -0.463 2.840
O 6.117 2.073 3.503
O 3.768 -2.073 0.637
O 7.470 0.463 1.300
O 6.650 -0.463 3.370
O 9.843 1.080 0.459
O 6.937 -2.073 1.433
O 9.022 -1.080 2.530
F 5.352 3.440 1.035
F 4.532 -3.440 3.105
CELL_PARAMETERS angstrom
5.763 -6.193 0.000
5.763 6.193 0.000
-1.641 0.000 4.140
! energy: -6.0399 eV/atom
! spin magnetization: 2.1 Bohr magnetons per cell
! formation energy (no corrections): -1.51 eV per atom
! SG: C2/c



! Pa2Ag2O5F2 | Alexandria via LeMat-Bulk | PBE | relaxed; values from VASP
&SYSTEM
  ibrav = 0, nat = 11, ntyp = 4
/
ATOMIC_SPECIES
Pa 231.04 Pa.upf
Ag 107.87 Ag.upf
O 16.00 O.upf
F 19.00 F.upf
ATOMIC_POSITIONS angstrom
Pa 0.000 0.000 2.119
Pa 0.000 0.000 18.646
Ag 0.000 0.000 6.694
Ag 0.000 0.000 14.070
O 0.000 0.000 0.000
O 2.180 0.000 2.322
O 2.180 0.000 8.060
O 0.000 2.180 2.322
O 0.000 2.180 8.060
F 0.000 0.000 4.360
F 0.000 0.000 16.404
CELL_PARAMETERS angstrom
-2.180 2.180 10.382
2.180 -2.180 10.382
2.180 2.180 -10.382
! energy: -7.4823 eV/atom
! spin magnetization: 0.0 Bohr magnetons per cell
! formation energy (no corrections): -2.64 eV per atom
! SG: I4/mmm



! AgPbO2F | Alexandria via LeMat-Bulk | PBE | relaxed; values from VASP
&SYSTEM
  ibrav = 0, nat = 5, ntyp = 4
/
ATOMIC_SPECIES
Ag 107.87 Ag.upf
Pb 207.20 Pb.upf
O 16.00 O.upf
F 19.00 F.upf
ATOMIC_POSITIONS angstrom
Ag 0.000 0.000 0.000
Pb 2.118 2.118 2.238
O 0.000 2.118 2.238
O 2.118 0.000 2.238
F 2.118 2.118 0.000
CELL_PARAMETERS angstrom
4.236 0.000 0.000
0.000 4.236 0.000
0.000 0.000 4.476
! energy: -4.3265 eV/atom
! spin magnetization: 0.1 Bohr magnetons per cell
! formation energy (no corrections): -0.66 eV per atom
! SG: P4/mmm